Record 1
Below is an optimized crystal structure of Sm6GaTe5, with properties calculated at the GGA-PBE level.

The value obtained for the energy relative to the elements, uncorrected is -15.69 eV/f.u. The total energy is -125.5 eV per cell.

It has space group C2/m (No. 12), with a = 7.687 Å, b = 13.260 Å, c = 7.675 Å, α = 90.00°, β = 109.36° and γ = 90.00°. Symmetry generates all atoms from Sm at (0.230, 0.000, 0.260), Sm at (0.234, 0.156, 0.735), Ga at (0.000, 0.000, 0.500), Te at (0.000, 0.174, 0.000), Te at (0.000, 0.335, 0.500) and Te at (0.000, 0.500, 0.000).

---

Record 2
Below is an optimized crystal structure of SmGaTe, with properties calculated at the GGA-PBE level.

The value obtained for the energy relative to the elements, uncorrected is -2.56 eV/f.u. The total energy is -80.7 eV per cell.

It has space group R-3m (No. 166, hexagonal axes), with a = 4.3586 Å, b = 4.3586 Å, c = 34.7283 Å, α = 90.00°, β = 90.00° and γ = 120.00°. Symmetry generates all atoms from Sm at (0.0000, 0.0000, 0.0653), Ga at (0.0000, 0.0000, 0.3376) and Te at (0.0000, 0.0000, 0.2195).

---

Record 3
Below is an optimized crystal structure of Sm2GaTe4, with properties calculated at the GGA-PBE level.

The value obtained for the energy relative to the elements, uncorrected is -6.98 eV/f.u. The total energy is -64.0 eV per cell.

It has space group C2/m (No. 12), with a = 15.868 Å, b = 4.391 Å, c = 7.751 Å, α = 90.00°, β = 118.76° and γ = 90.00°. Symmetry generates all atoms from Sm at (0.242, 0.000, 0.229), Ga at (0.000, 0.500, 0.500), Te at (0.113, 0.500, 0.939) and Te at (0.124, 0.000, 0.462).